Record 1
The following is a DFT calculation (PBE) of crystalline Pm2Ga2S7 at its relaxed geometry.

abc: 6.598 7.253 7.253
angles: 111.30 102.49 102.49
Fractional positions:
Pm 0.500 0.311 0.689
Pm 0.500 0.689 0.311
Ga 0.139 0.766 0.766
Ga 0.861 0.234 0.234
S 0.278 0.567 0.893
S 0.722 0.107 0.433
S 0.722 0.433 0.107
S 0.278 0.893 0.567
S 0.237 0.319 0.319
S 0.000 0.000 0.000
S 0.763 0.681 0.681

## Properties
Uncorrected energy, eV/atom: -5.105
SG: C2/m

***

Record 2
The following is a DFT calculation (PBE) of crystalline Pm4GaS2 at its relaxed geometry.

abc: 4.009 6.979 13.831
angles: 90.00 90.00 106.69
Fractional positions:
Pm 0.773 0.545 0.120
Pm 0.773 0.545 0.380
Pm 0.227 0.455 0.880
Pm 0.227 0.455 0.620
Pm 0.939 0.877 0.750
Pm 0.061 0.123 0.250
Pm 0.500 0.000 0.000
Pm 0.500 0.000 0.500
Ga 0.607 0.214 0.750
Ga 0.393 0.786 0.250
S 0.136 0.273 0.439
S 0.864 0.727 0.939
S 0.136 0.273 0.061
S 0.864 0.727 0.561

## Properties
Uncorrected energy, eV/atom: -5.668
SG: Cmcm

***

Record 3
The following is a DFT calculation (PBE) of crystalline Pm2GaS at its relaxed geometry.

abc: 4.068 4.244 11.617
angles: 100.52 90.00 90.00
Fractional positions:
Pm 0.750 0.685 0.371
Pm 0.250 0.315 0.629
Pm 0.750 0.930 0.861
Pm 0.250 0.070 0.139
Ga 0.250 0.462 0.924
Ga 0.750 0.538 0.076
S 0.250 0.192 0.384
S 0.750 0.808 0.616

## Properties
SG: Cmcm
Energy relative to the lowest polymorph listed for this composition, meV/atom: 0

***

Record 4
The following is a DFT calculation (PBE) of crystalline Pm2GaS at its relaxed geometry.

abc: 3.914 3.914 8.125
angles: 76.06 76.06 60.00
Fractional positions:
Pm 0.073 0.073 0.782
Pm 0.260 0.260 0.220
Ga 0.499 0.499 0.502
S 0.668 0.668 0.996

## Properties
SG: R3m
Energy relative to the lowest polymorph listed for this composition, meV/atom: 175